Record 1
Computed, not measured: a relaxed structure of Rb2TlF2 at the PBE-GGA level of DFT.

Results
* Fermi-level density of states: 2.75 states/eV/cell
* formation energy (no corrections): -1755 meV per atom
* raw total energy: -16.82 eV for the cell shown

Cell lengths 4.987, 4.987, 7.870 Å; angles 71.53, 71.53, 90.00 degrees
Positions (direct):
Tl 0.000 0.000 0.000
F 0.250 0.750 0.500
F 0.750 0.250 0.500
Rb 0.321 0.321 0.358
Rb 0.679 0.679 0.642

***

Record 2
Computed, not measured: a relaxed structure of RbTlF3 at the PBE-GGA level of DFT.

Results
* Fermi-level density of states: 1.72 states/eV/cell
* formation energy (no corrections): -2011 meV per atom
* raw total energy: -38.00 eV for the cell shown

Cell lengths 9.397, 9.397, 5.439 Å; angles 90.00, 90.00, 140.31 degrees
Positions (direct):
F 0.923 0.552 0.250
F 0.000 0.000 0.000
F 0.552 0.923 0.750
F 0.077 0.448 0.750
F 0.000 0.000 0.500
F 0.448 0.077 0.250
Rb 0.687 0.313 0.750
Rb 0.313 0.687 0.250
Tl 0.899 0.101 0.750
Tl 0.101 0.899 0.250

***

Record 3
Computed, not measured: a relaxed structure of RbTlF3 at the PBE-GGA level of DFT.

Results
* Fermi-level density of states: 3.22 states/eV/cell
* formation energy (no corrections): -1932 meV per atom
* raw total energy: -18.61 eV for the cell shown

Cell lengths 3.953, 3.953, 6.893 Å; angles 90.00, 90.00, 90.00 degrees
Positions (direct):
Tl 0.500 0.500 0.589
F 0.000 0.000 0.745
F 0.000 0.500 0.398
F 0.500 0.000 0.398
Rb 0.000 0.000 0.135

***

Record 4
Computed, not measured: a relaxed structure of RbTlF3 at the PBE-GGA level of DFT.

Results
* Fermi-level density of states: 5.50 states/eV/cell
* formation energy (no corrections): -2027 meV per atom
* raw total energy: -38.17 eV for the cell shown

Cell lengths 4.531, 4.531, 10.041 Å; angles 90.00, 90.00, 120.00 degrees
Positions (direct):
F 0.000 0.000 0.250
F 0.333 0.667 0.449
F 0.333 0.667 0.051
F 0.667 0.333 0.551
F 0.667 0.333 0.949
F 0.000 0.000 0.750
Tl 0.000 0.000 0.500
Tl 0.000 0.000 0.000
Rb 0.667 0.333 0.250
Rb 0.333 0.667 0.750

***

Record 5
Computed, not measured: a relaxed structure of Rb5Tl2F12 at the PBE-GGA level of DFT.

Results
* formation energy (no corrections): -2211 meV per atom
* raw total energy: -74.03 eV for the cell shown

Cell lengths 7.528, 7.927, 7.927 Å; angles 66.49, 67.70, 67.70 degrees
Site moments in Bohr magnetons follow the coordinates.
Positions (direct):
F 0.821 0.091 0.091  0.03
F 0.224 0.117 0.538  0.05
F 0.776 0.462 0.883  0.05
F 0.797 0.139 0.705  0.03
F 0.203 0.295 0.861  0.03
F 0.121 0.512 0.512  0.43
F 0.224 0.538 0.117  0.05
F 0.179 0.909 0.909  0.03
F 0.797 0.705 0.139  0.03
F 0.203 0.861 0.295  0.03
F 0.776 0.883 0.462  0.05
F 0.879 0.488 0.488  0.43
Rb 0.500 0.000 0.000  0.00
Rb 0.009 0.258 0.258  0.00
Rb 0.504 0.315 0.315  0.00
Rb 0.496 0.685 0.685  0.00
Rb 0.991 0.742 0.742  0.00
Tl 0.000 0.778 0.222  0.00
Tl 0.000 0.222 0.778  0.00

***

Record 6
Computed, not measured: a relaxed structure of Rb4TlF5 at the PBE-GGA level of DFT.

Results
* Fermi-level density of states: 0.00 states/eV/cell
* formation energy (no corrections): -2486 meV per atom
* raw total energy: -40.45 eV for the cell shown

Cell lengths 5.762, 7.005, 7.005 Å; angles 80.26, 65.71, 65.71 degrees
Positions (direct):
Rb 0.806 0.802 0.600
Rb 0.406 0.400 0.802
Rb 0.208 0.198 0.400
Rb 0.608 0.600 0.198
F 0.107 0.602 0.200
F 0.308 0.800 0.602
F 0.444 0.000 0.000
F 0.909 0.398 0.800
F 0.709 0.200 0.398
Tl 0.006 0.000 0.000

***

Record 7
Computed, not measured: a relaxed structure of RbTl4F5 at the PBE-GGA level of DFT.

Results
* Fermi-level density of states: 0.00 states/eV/cell
* formation energy (no corrections): -1912 meV per atom
* raw total energy: -38.91 eV for the cell shown

Cell lengths 5.686, 6.966, 6.966 Å; angles 80.41, 65.91, 65.91 degrees
Positions (direct):
F 0.906 0.400 0.791
F 0.697 0.209 0.400
F 0.097 0.600 0.209
F 0.306 0.791 0.600
F 0.501 0.000 0.000
Tl 0.598 0.602 0.203
Tl 0.801 0.797 0.602
Tl 0.200 0.203 0.398
Tl 0.404 0.398 0.797
Rb 0.001 0.000 0.000

***

Record 8
Computed, not measured: a relaxed structure of Rb2TlF4 at the PBE-GGA level of DFT.

Results
* Fermi-level density of states: 1.73 states/eV/cell
* formation energy (no corrections): -2277 meV per atom
* raw total energy: -27.73 eV for the cell shown

Cell lengths 3.733, 7.371, 7.266 Å; angles 128.10, 104.88, 90.00 degrees
Positions (direct):
F 0.352 0.773 0.704
F 0.648 0.227 0.296
F 0.952 0.253 0.905
F 0.048 0.747 0.095
Tl 0.000 0.000 0.000
Rb 0.345 0.370 0.689
Rb 0.655 0.630 0.311

***

Record 9
Computed, not measured: a relaxed structure of Rb3Tl2F8 at the PBE-GGA level of DFT.

Results
* Fermi-level density of states: 3.79 states/eV/cell
* formation energy (no corrections): -2182 meV per atom
* raw total energy: -50.97 eV for the cell shown

Cell lengths 7.007, 7.007, 8.175 Å; angles 64.62, 64.62, 60.00 degrees
Site moments in Bohr magnetons follow the coordinates.
Positions (direct):
F 0.795 0.259 0.687  0.06
F 0.673 0.673 0.981  0.01
F 0.741 0.205 0.313  0.06
F 0.741 0.741 0.313  0.06
F 0.205 0.741 0.313  0.06
F 0.259 0.259 0.687  0.06
F 0.259 0.795 0.687  0.06
F 0.327 0.327 0.019  0.01
Tl 0.573 0.573 0.280  0.10
Tl 0.427 0.427 0.720  0.10
Rb 0.000 0.000 0.000  0.00
Rb 0.202 0.202 0.394  0.00
Rb 0.798 0.798 0.606  0.00

***

Record 10
Computed, not measured: a relaxed structure of Rb4Tl2F at the PBE-GGA level of DFT.

Results
* Fermi-level density of states: 5.56 states/eV/cell
* formation energy (no corrections): -642 meV per atom
* raw total energy: -14.97 eV for the cell shown

Cell lengths 5.644, 5.644, 10.779 Å; angles 74.82, 74.82, 90.00 degrees
Positions (direct):
Rb 0.837 0.837 0.327
Rb 0.000 0.500 0.000
Rb 0.500 0.000 0.000
Rb 0.163 0.163 0.673
Tl 0.647 0.647 0.705
Tl 0.353 0.353 0.295
F 0.000 0.000 0.000